Li4ScTcO6 | PBE | relaxed

Cell: 5.170 5.170 5.136 Å, 99.80 99.80 119.92°
Atoms (fractional coordinates):
O (0.405, 0.067, 0.767)
O (0.565, 0.919, 0.238)
O (0.240, 0.227, 0.239)
O (0.933, 0.595, 0.233)
O (0.773, 0.760, 0.761)
O (0.081, 0.435, 0.762)
Li (0.003, 0.997, 0.500)
Li (0.340, 0.660, 0.500)
Li (0.500, 0.500, 0.000)
Li (0.658, 0.342, 0.500)
Sc (0.834, 0.166, 0.000)
Tc (0.167, 0.833, 0.000)

Its total energy is -6.673 eV per atom. The calculation puts the volume at 9.32 A^3/atom.

---

LiSmSeO | PBE | relaxed

Cell: 5.940 7.315 6.473 Å, 90.00 98.55 90.00°
Atoms (fractional coordinates):
Se (0.132, 0.443, 0.287)
Se (0.132, 0.057, 0.787)
Se (0.868, 0.943, 0.213)
Se (0.868, 0.557, 0.713)
Sm (0.390, 0.398, 0.761)
Sm (0.390, 0.102, 0.261)
Sm (0.610, 0.602, 0.239)
Sm (0.610, 0.898, 0.739)
O (0.573, 0.185, 0.575)
O (0.427, 0.815, 0.425)
O (0.573, 0.315, 0.075)
O (0.427, 0.685, 0.925)
Li (0.125, 0.764, 0.487)
Li (0.125, 0.736, 0.987)
Li (0.875, 0.236, 0.513)
Li (0.875, 0.264, 0.013)

Its total energy is -6.020 eV per atom. The calculation puts the volume at 17.38 A^3/atom.

---

LiSmSeO | PBE | relaxed

Cell: 4.504 4.098 7.010 Å, 90.00 90.00 90.00°
Atoms (fractional coordinates):
Se (0.000, 0.255, 0.787)
Se (0.000, 0.745, 0.287)
O (0.500, 0.245, 0.124)
O (0.500, 0.755, 0.624)
Sm (0.500, 0.746, 0.958)
Sm (0.500, 0.254, 0.458)
Li (0.000, 0.245, 0.123)
Li (0.000, 0.755, 0.623)

Its total energy is -5.962 eV per atom. The calculation puts the volume at 16.17 A^3/atom.

---

- Among the records above, which one has the highest total energy?
  number 3